Entry 1:
First-principles (PBE) data for BaSmAu after structural relaxation, as listed in the Open Quantum Materials Database.

```
3
Lattice="0.000 3.641 3.641 3.641 0.000 3.641 3.641 3.641 0.000" Properties=species:S:1:pos:R:3 pbc="T T T"
Au 1.821 1.821 1.821
Sm 0.000 0.000 0.000
Ba 5.462 5.462 5.462
```

Summary:
Spin magnetization   0.00 μB per formula unit
Space-group type   F-43m, No. 216
Mass density   8.336 g cm⁻³
Distance to the lowest polymorph of the same formula   0.000 eV per atom

Entry 2:
First-principles (PBE) data for BaSn3Au after structural relaxation, as listed in the Open Quantum Materials Database.

```
5
Lattice="4.761 -0.874 -4.607 5.986 -1.678 2.452 -6.251 -2.212 0.833" Properties=species:S:1:pos:R:3 pbc="T T T"
Sn 6.381 -1.515 -1.280
Sn 1.854 -2.160 -2.408
Sn 2.466 -2.562 1.121
Ba 10.671 -2.534 -2.140
Au 3.768 -0.895 -0.756
```

Summary:
Energy   -0.1455 Ha/atom
Space-group type   I4mm, No. 107
Mass density   7.839 g cm⁻³

Entry 3:
First-principles (PBE) data for BaSnAu after structural relaxation, as listed in the Open Quantum Materials Database.

```
6
Lattice="-2.515 4.141 4.311 2.515 -4.141 4.311 2.515 4.141 -4.311" Properties=species:S:1:pos:R:3 pbc="T T T"
Sn 2.515 2.571 0.581
Sn 0.000 1.570 4.893
Au 2.515 1.820 3.458
Au 2.515 -1.820 3.458
Ba 0.000 4.141 2.383
Ba 0.000 0.000 1.689
```

Summary:
Energy   -0.1391 Ha/atom
Space-group type   Imm2, No. 44
Mass density   8.378 g cm⁻³

Entry 4:
First-principles (PBE) data for Ba2ZnSn2Au after structural relaxation, as listed in the Open Quantum Materials Database.

```
6
Lattice="4.751 0.000 0.000 -2.375 4.114 0.000 0.000 0.000 10.051" Properties=species:S:1:pos:R:3 pbc="T T T"
Ba 0.000 0.000 2.549
Ba 0.000 0.000 7.502
Au 2.375 1.371 5.025
Sn 0.000 2.743 5.025
Sn 2.375 1.371 0.000
Zn 0.000 2.743 0.000
```

Summary:
Energy   -0.1228 Ha/atom
Space-group type   P-6m2, No. 187
Mass density   6.547 g cm⁻³

Entry 5:
First-principles (PBE) data for BaSrYAu after structural relaxation, as listed in the Open Quantum Materials Database.

```
4
Lattice="-4.813 -2.529 2.023 -4.688 3.209 1.175 -4.705 -0.396 -3.371" Properties=species:S:1:pos:R:3 pbc="T T T"
Sr -7.103 0.142 -0.086
Ba 0.000 0.000 0.000
Au -10.655 0.213 -0.129
Y -3.552 0.071 -0.043
```

Summary:
Spin magnetization   0.02 μB per formula unit
Space-group type   F-43m, No. 216
Mass density   6.144 g cm⁻³
Distance to the lowest polymorph of the same formula   0.082 eV per atom

Entry 6:
First-principles (PBE) data for BaSrYAu after structural relaxation, as listed in the Open Quantum Materials Database.

```
4
Lattice="0.000 3.941 3.941 3.941 0.000 3.941 3.941 3.941 0.000" Properties=species:S:1:pos:R:3 pbc="T T T"
Sr 3.941 3.941 3.941
Ba 1.970 1.970 1.970
Au 5.911 5.911 5.911
Y 0.000 0.000 0.000
```

Summary:
Spin magnetization   0.05 μB per formula unit
Space-group type   F-43m, No. 216
Mass density   6.931 g cm⁻³
Distance to the lowest polymorph of the same formula   0.000 eV per atom

Entry 7:
First-principles (PBE) data for BaTaAu after structural relaxation, as listed in the Open Quantum Materials Database.

```
3
Lattice="-3.950 -1.950 2.075 -2.518 2.539 3.306 -4.424 1.713 -1.098" Properties=species:S:1:pos:R:3 pbc="T T T"
Au -2.723 0.575 1.071
Ba -8.169 1.726 3.212
Ta 0.000 0.000 0.000
```

Summary:
Spin magnetization   0.00 μB per formula unit
Energy   -0.1711 Ha/atom
Space-group type   F-43m, No. 216
Mass density   10.478 g cm⁻³

Entry 8:
First-principles (PBE) data for BaTbAu after structural relaxation, as listed in the Open Quantum Materials Database.

```
3
Lattice="0.000 3.658 3.658 3.658 0.000 3.658 3.658 3.658 0.000" Properties=species:S:1:pos:R:3 pbc="T T T"
Ba 0.000 0.000 0.000
Tb 5.486 5.486 5.486
Au 1.829 1.829 1.829
```

Summary:
Spin magnetization   0.00 μB per formula unit
Energy   -0.1051 Ha/atom
Space-group type   F-43m, No. 216
Mass density   8.369 g cm⁻³

Entry 9:
First-principles (PBE) data for Ba2TeAu after structural relaxation, as listed in the Open Quantum Materials Database.

```
8
Lattice="5.166 0.000 0.000 0.000 6.703 0.000 0.000 0.000 8.672" Properties=species:S:1:pos:R:3 pbc="T T T"
Te 2.583 3.900 4.003
Te 2.583 2.803 8.339
Au 0.000 6.351 4.711
Au 0.000 0.352 0.375
Ba 2.583 0.648 2.640
Ba 0.000 2.651 5.989
Ba 0.000 4.052 1.653
Ba 2.583 6.055 6.976
```

Summary:
Energy   -0.1349 Ha/atom
Space-group type   Pmc2_1, No. 26
Mass density   6.628 g cm⁻³

Entry 10:
First-principles (PBE) data for Ba2TeAu after structural relaxation, as listed in the Open Quantum Materials Database.

```
8
Lattice="-4.089 -2.577 -0.836 4.100 -7.771 3.907 -2.432 1.843 6.217" Properties=species:S:1:pos:R:3 pbc="T T T"
Te 0.703 -3.404 7.062
Te -1.074 -3.816 2.632
Ba -0.280 -6.711 7.672
Ba -0.101 -0.503 2.045
Ba -2.387 -2.712 5.649
Ba 2.015 -4.509 4.046
Au -1.353 0.486 5.121
Au 0.971 -7.699 4.599
```

Summary:
Energy   -0.1370 Ha/atom
Space-group type   Pmn2_1, No. 31
Mass density   6.093 g cm⁻³

Entry 11:
First-principles (PBE) data for BaTe2Au2 after structural relaxation, as listed in the Open Quantum Materials Database.

```
5
Lattice="-2.397 -2.814 -3.437 0.370 -4.018 3.032 -3.928 4.743 2.563" Properties=species:S:1:pos:R:3 pbc="T T T"
Te -2.286 -1.346 2.696
Te -3.669 -0.744 -0.538
Au -2.193 -3.100 0.361
Au -3.763 1.010 1.797
Ba 0.000 0.000 0.000
```

Summary:
Energy   -0.1294 Ha/atom
Space-group type   I4/mmm, No. 139
Mass density   9.097 g cm⁻³

Entry 12:
First-principles (PBE) data for Ba2TeAu after structural relaxation, as listed in the Open Quantum Materials Database.

```
8
Lattice="6.734 0.000 0.000 0.000 5.146 0.000 -1.309 0.000 8.877" Properties=species:S:1:pos:R:3 pbc="T T T"
Ba 1.100 3.860 6.122
Ba 1.024 3.860 1.465
Ba 4.324 1.287 2.755
Ba 4.401 1.287 7.412
Au 4.347 3.860 0.369
Au 1.078 1.287 8.509
Te 0.978 1.287 3.795
Te 4.446 3.860 5.082
```

Summary:
Energy   -0.1358 Ha/atom
Space-group type   P2_1/m, No. 11
Mass density   6.469 g cm⁻³

Entry 13:
First-principles (PBE) data for BaTmTe3Au after structural relaxation, as listed in the Open Quantum Materials Database.

```
12
Lattice="-1.814 8.411 -0.375 -4.265 -0.892 0.618 1.993 -2.408 10.275" Properties=species:S:1:pos:R:3 pbc="T T T"
Te -3.624 5.658 6.659
Te -1.391 3.740 3.632
Te -2.694 1.371 6.887
Te -4.500 5.708 0.685
Te -0.461 -0.547 3.860
Te 0.415 -0.596 9.833
Ba -0.827 4.083 8.015
Ba -3.258 1.029 2.503
Tm -0.090 -0.225 6.886
Tm -3.996 5.337 3.632
Au -1.923 4.467 1.012
Au -2.163 0.645 9.507
```

Summary:
Spin magnetization   0.00 μB per formula unit
Energy   -0.1611 Ha/atom
Space-group type   P2_1/m, No. 11
Mass density   7.577 g cm⁻³

Entry 14:
First-principles (PBE) data for BaThAu4 after structural relaxation, as listed in the Open Quantum Materials Database.

```
6
Lattice="-3.714 2.171 -4.434 -3.285 -5.164 0.844 -3.121 2.623 3.898" Properties=species:S:1:pos:R:3 pbc="T T T"
Au -4.994 -1.307 0.962
Au -1.177 -0.503 -0.604
Au -5.126 0.937 -0.653
Au -5.823 -2.490 -2.986
Th -3.500 -1.496 -1.795
Ba -1.560 1.311 1.949
```

Summary:
Spin magnetization   0.06 μB per formula unit
Energy   -0.1391 Ha/atom
Space-group type   Cmmm, No. 65
Mass density   8.949 g cm⁻³

Entry 15:
First-principles (PBE) data for BaThAu after structural relaxation, as listed in the Open Quantum Materials Database.

```
3
Lattice="0.000 3.775 3.775 3.775 0.000 3.775 3.775 3.775 0.000" Properties=species:S:1:pos:R:3 pbc="T T T"
Au 0.000 0.000 0.000
Th 5.663 5.663 5.663
Ba 1.888 1.888 1.888
```

Summary:
Spin magnetization   0.28 μB per formula unit
Space-group type   F-43m, No. 216
Mass density   8.740 g cm⁻³
Distance to the lowest polymorph of the same formula   0.000 eV per atom

Entry 16:
First-principles (PBE) data for Ba2TlAu after structural relaxation, as listed in the Open Quantum Materials Database.

```
4
Lattice="0.000 3.957 3.957 3.957 0.000 3.957 3.957 3.957 0.000" Properties=species:S:1:pos:R:3 pbc="T T T"
Tl 5.935 5.935 5.935
Ba 1.978 1.978 1.978
Ba 0.000 0.000 0.000
Au 3.957 3.957 3.957
```

Summary:
Energy   -0.0987 Ha/atom
Space-group type   F-43m, No. 216
Mass density   9.062 g cm⁻³

Entry 17:
First-principles (PBE) data for BaTl3Au after structural relaxation, as listed in the Open Quantum Materials Database.

```
5
Lattice="-2.406 2.406 6.463 2.406 -2.406 6.463 2.406 2.406 -6.463" Properties=species:S:1:pos:R:3 pbc="T T T"
Au 0.000 0.000 5.174
Tl 0.000 2.406 3.481
Tl 2.406 0.000 3.481
Tl 0.000 0.000 7.968
Ba 0.000 0.000 0.038
```

Summary:
Energy   -0.1018 Ha/atom
Space-group type   I4mm, No. 107
Mass density   10.515 g cm⁻³

Entry 18:
First-principles (PBE) data for BaTlAu after structural relaxation, as listed in the Open Quantum Materials Database.

```
3
Lattice="5.256 -0.898 0.221 1.990 -3.303 3.689 1.959 -4.748 -1.449" Properties=species:S:1:pos:R:3 pbc="T T T"
Tl 0.000 0.000 0.000
Ba 6.904 -6.712 1.846
Au 2.301 -2.237 0.615
```

Summary:
Energy   -0.0993 Ha/atom
Space-group type   F-43m, No. 216
Mass density   8.324 g cm⁻³

Entry 19:
First-principles (PBE) data for BaTlZnAu after structural relaxation, as listed in the Open Quantum Materials Database.

```
4
Lattice="0.695 3.029 4.425 -2.566 4.737 0.464 -4.033 0.552 3.559" Properties=species:S:1:pos:R:3 pbc="T T T"
Ba -2.952 4.159 4.224
Tl -1.476 2.079 2.112
Zn 0.000 0.000 0.000
Au -4.428 6.238 6.337
```

Summary:
Space-group type   F-43m, No. 216
Mass density   8.973 g cm⁻³
Distance to the lowest polymorph of the same formula   0.093 eV per atom

Entry 20:
First-principles (PBE) data for BaTlZnAu after structural relaxation, as listed in the Open Quantum Materials Database.

```
4
Lattice="0.131 -5.190 -1.202 -4.326 -3.020 0.755 -2.733 -1.834 -4.191" Properties=species:S:1:pos:R:3 pbc="T T T"
Ba -1.732 -2.511 -1.159
Zn 0.000 0.000 0.000
Tl -3.464 -5.022 -2.319
Au -5.196 -7.533 -3.478
```

Summary:
Space-group type   F-43m, No. 216
Mass density   9.373 g cm⁻³
Distance to the lowest polymorph of the same formula   0.106 eV per atom